Record 1
# LiPa2Fe

Crystalline LiPa2Fe at its relaxed geometry (PBE-GGA, the Alexandria database).

The structure in CIF format:
```
data_LiPa2Fe
_chemical_formula_sum 'Li3 Pa6 Fe3'
_cell_length_a 3.5310
_cell_length_b 3.5310
_cell_length_c 25.7207
_cell_angle_alpha 90.00
_cell_angle_beta 90.00
_cell_angle_gamma 120.00
_space_group_name_H-M_alt 'R -3 m'
_space_group_IT_number 166
_space_group_name_Hall '-R 3 2"'
loop_
_atom_site_label
_atom_site_type_symbol
_atom_site_fract_x
_atom_site_fract_y
_atom_site_fract_z
_atom_site_occupancy
Li1 Li 0.0000 0.0000 0.0000 1
Pa1 Pa 0.0000 0.0000 0.2283 1
Fe1 Fe 0.0000 0.0000 0.5000 1
```

Output
Energy relative to the elements: 0.187 eV/atom
N(E_F): 1.5459 states/eV/atom
Calculated density: 9.4 g/cm³

=====

Record 2
# LiPaFeRh

Crystalline LiPaFeRh at its relaxed geometry (PBE-GGA, the Alexandria database).

The structure in CIF format:
```
data_LiPaFeRh
_chemical_formula_sum 'Li4 Pa4 Fe4 Rh4'
_cell_length_a 6.341
_cell_length_b 6.341
_cell_length_c 6.341
_cell_angle_alpha 90.00
_cell_angle_beta 90.00
_cell_angle_gamma 90.00
_space_group_name_H-M_alt 'F -4 3 m'
_space_group_IT_number 216
_space_group_name_Hall 'F -4 2 3'
loop_
_atom_site_label
_atom_site_type_symbol
_atom_site_fract_x
_atom_site_fract_y
_atom_site_fract_z
_atom_site_occupancy
Li1 Li 0.000 0.000 0.000 1
Pa1 Pa 0.000 0.000 0.500 1
Fe1 Fe 0.250 0.250 0.250 1
Rh1 Rh 0.250 0.250 0.750 1
```

Output
Energy relative to the elements: -0.196 eV/atom
N(E_F): 0.8549 states/eV/atom
Calculated density: 10.3 g/cm³